TiMoBr2 | PBE-GGA | relaxed

Lattice parameters (Å, degrees): 9.001 9.001 9.001 20.20 20.20 20.20
Fractional positions:
Br: 0.096 0.096 0.096
Br: 0.904 0.904 0.904
Mo: 0.000 0.000 0.000
Ti: 0.500 0.500 0.500

Calculated values
- Volume: 76.12 Å³/f.u.
- E_form (uncorrected): 0.15 eV per atom
- Space group: R-3m, No. 166
- Energy: -5.367 eV/atom

Pr3CuRh | PBE-GGA | relaxed

Lattice parameters (Å, degrees): 3.995 6.666 10.418 97.19 101.05 90.00
Fractional positions:
Rh: 0.422 0.482 0.844
Pr: 0.633 0.094 0.266
Cu: 0.762 0.893 0.524
Pr: 0.367 0.906 0.734
Pr: 0.822 0.404 0.643
Cu: 0.238 0.107 0.476
Rh: 0.578 0.518 0.156
Pr: 0.178 0.596 0.357
Pr: 0.992 0.250 0.984
Pr: 0.008 0.750 0.016

Calculated values
- Volume: 135.04 Å³/f.u.
- Space group: C2/m, No. 12
- Energy: -5.473 eV/atom
- E_form: -30.5 kJ/mol of atoms

NaBe3As | PBE-GGA | relaxed

Lattice parameters (Å, degrees): 4.437 4.437 4.437 90.00 90.00 90.00
Fractional positions:
Na: 0.000 0.000 0.000
As: 0.500 0.500 0.500
Be: 0.000 0.500 0.000
Be: 0.500 0.000 0.000
Be: 0.000 0.000 0.500

Calculated values
- Volume: 87.38 Å³/f.u.
- Space group: Pm-3m, No. 221
- Energy: -1.617 eV/atom
- E_form: 174.9 kJ/mol of atoms

AcDy2Sb | PBE-GGA | relaxed

Lattice parameters (Å, degrees): 3.988 3.988 7.889 90.00 90.00 90.00
Fractional positions:
Ac: 0.500 0.500 0.000
Dy: 0.000 0.000 0.703
Dy: 0.000 0.000 0.297
Sb: 0.500 0.500 0.500

Calculated values
- Volume: 125.49 Å³/f.u.
- E_form (uncorrected): -0.46 eV per atom
- Space group: P4/mmm, No. 123
- Energy: -4.819 eV/atom

Lu2IrRh | PBE-GGA | relaxed

Lattice parameters (Å, degrees): 3.445 4.677 4.677 90.00 90.00 90.00
Fractional positions:
Ir: 0.500 0.000 0.000
Rh: 0.500 0.500 0.500
Lu: 0.000 0.000 0.500
Lu: 0.000 0.500 0.000

Calculated values
- Volume: 75.35 Å³/f.u.
- Space group: P4/mmm, No. 123
- Energy: -7.311 eV/atom
- E_form: -96.3 kJ/mol of atoms

SmDy2ThSc | PBE-GGA | relaxed

Lattice parameters (Å, degrees): 5.673 9.380 6.177 109.22 90.00 90.00
Fractional positions:
Dy: 0.250 0.102 0.460
Sc: 0.750 0.492 0.338
Dy: 0.750 0.898 0.540
Sm: 0.750 0.308 0.736
Sm: 0.250 0.692 0.264
Th: 0.750 0.098 0.127
Sc: 0.250 0.508 0.662
Dy: 0.250 0.303 0.078
Dy: 0.750 0.697 0.922
Th: 0.250 0.902 0.873

Calculated values
- Volume: 155.19 Å³/f.u.
- Space group: P2_1/m, No. 11
- Energy: -5.484 eV/atom
- E_form: 5.0 kJ/mol of atoms

Ca2Mg3Zn7 | PBE-GGA | relaxed

Lattice parameters (Å, degrees): 8.811 8.811 8.811 40.47 40.47 40.47
Fractional positions:
Zn: 0.500 0.500 0.500
Zn: 0.370 0.944 0.370
Zn: 0.370 0.370 0.944
Mg: 0.124 0.124 0.124
Zn: 0.630 0.056 0.630
Zn: 0.944 0.370 0.370
Mg: 0.876 0.876 0.876
Zn: 0.630 0.630 0.056
Mg: 0.000 0.000 0.000
Ca: 0.655 0.655 0.655
Ca: 0.345 0.345 0.345
Zn: 0.056 0.630 0.630

Calculated values
- Volume: 259.88 Å³/f.u.
- Space group: R-3m, No. 166
- Energy: -1.453 eV/atom
- E_form: 2.1 kJ/mol of atoms

Y5Pt4 | PBE-GGA | relaxed

Lattice parameters (Å, degrees): 7.531 7.622 14.671 90.00 90.00 90.00
Fractional positions:
Pt: 0.183 0.532 0.042
Y: 0.002 0.820 0.906
Y: 0.498 0.320 0.094
Pt: 0.683 0.968 0.042
Pt: 0.814 0.359 0.250
Y: 0.844 0.668 0.122
Pt: 0.547 0.612 0.250
Y: 0.844 0.668 0.378
Pt: 0.453 0.388 0.750
Pt: 0.317 0.032 0.542
Y: 0.319 0.988 0.750
Y: 0.344 0.832 0.378
Pt: 0.317 0.032 0.958
Pt: 0.314 0.141 0.250
Y: 0.502 0.680 0.594
Y: 0.498 0.320 0.406
Pt: 0.683 0.968 0.458
Pt: 0.817 0.468 0.958
Y: 0.344 0.832 0.122
Pt: 0.817 0.468 0.542
Y: 0.656 0.168 0.622
Y: 0.656 0.168 0.878
Y: 0.681 0.012 0.250
Y: 0.002 0.820 0.594
Pt: 0.953 0.112 0.750
Y: 0.502 0.680 0.906
Pt: 0.183 0.532 0.458
Pt: 0.186 0.641 0.750
Y: 0.819 0.512 0.750
Y: 0.998 0.180 0.406
Y: 0.181 0.488 0.250
Y: 0.998 0.180 0.094
Pt: 0.686 0.859 0.750
Y: 0.156 0.332 0.878
Y: 0.156 0.332 0.622
Pt: 0.047 0.888 0.250

Calculated values
- Volume: 210.54 Å³/f.u.
- Space group: Pnma, No. 62
- Energy: -7.428 eV/atom
- E_form: -111.2 kJ/mol of atoms

KZrCr2 | PBE-GGA | relaxed

Lattice parameters (Å, degrees): 5.032 5.032 5.032 60.00 60.00 60.00
Fractional positions:
Cr: 0.000 0.000 0.000
K: 0.500 0.500 0.500
Zr: 0.750 0.750 0.750
Cr: 0.250 0.250 0.250

Calculated values
- Volume: 90.10 Å³/f.u.
- Space group: F-43m, No. 216
- Energy: -5.787 eV/atom
- E_form: 138.6 kJ/mol of atoms

AcTl2Ga | PBE-GGA | relaxed

Lattice parameters (Å, degrees): 5.509 5.509 5.509 60.00 60.00 60.00
Fractional positions:
Tl: 0.250 0.250 0.250
Tl: 0.750 0.750 0.750
Ga: 0.500 0.500 0.500
Ac: 0.000 0.000 0.000

Calculated values
- Volume: 118.21 Å³/f.u.
- Space group: Fm-3m, No. 225
- Energy: -3.142 eV/atom
- E_form: -16.9 kJ/mol of atoms

In3AsPd6 | PBE-GGA | relaxed

Lattice parameters (Å, degrees): 4.514 9.012 9.012 100.48 90.00 90.00
Fractional positions:
Pd: 0.147 0.389 0.958
In: 0.632 0.331 0.128
Pd: 0.118 0.741 0.259
Pd: 0.147 0.042 0.611
In: 0.123 0.381 0.619
Pd: 0.647 0.958 0.389
Pd: 0.126 0.433 0.302
As: 0.472 0.875 0.125
In: 0.132 0.669 0.872
Pd: 0.126 0.698 0.567
In: 0.623 0.619 0.381
Pd: 0.626 0.302 0.433
Pd: 0.626 0.567 0.698
In: 0.132 0.128 0.331
Pd: 0.962 0.941 0.059
Pd: 0.647 0.611 0.042
Pd: 0.462 0.059 0.941
As: 0.972 0.125 0.875
In: 0.632 0.872 0.669
Pd: 0.618 0.259 0.741

Calculated values
- Volume: 180.24 Å³/f.u.
- Space group: Cmc2_1, No. 36
- Energy: -4.803 eV/atom
- E_form: -38.7 kJ/mol of atoms

SrNpGaO6 | PBE-GGA | relaxed

Lattice parameters (Å, degrees): 5.346 5.346 10.936 90.00 90.00 120.00
Fractional positions:
Ga: 0.667 0.333 0.250
O: 0.631 0.629 0.148
O: 0.998 0.629 0.352
O: 0.629 0.998 0.852
O: 0.629 0.631 0.648
O: 0.002 0.371 0.648
Ga: 0.333 0.667 0.750
O: 0.371 0.002 0.148
O: 0.369 0.998 0.648
Np: 0.667 0.333 0.750
Sr: 0.000 0.000 0.000
O: 0.631 0.002 0.352
O: 0.998 0.369 0.148
Sr: 0.000 0.000 0.500
O: 0.371 0.369 0.352
O: 0.369 0.371 0.852
O: 0.002 0.631 0.852
Np: 0.333 0.667 0.250

Calculated values
- Volume: 135.34 Å³/f.u.
- E_form (uncorrected): -2.45 eV per atom
- Space group: P-31c, No. 163
- Energy: -7.719 eV/atom

PmSm2Tm | PBE-GGA | relaxed

Lattice parameters (Å, degrees): 3.614 3.614 11.854 81.23 81.23 60.00
Fractional positions:
Pm: 0.500 0.500 0.500
Sm: 0.252 0.252 0.245
Tm: 0.667 0.667 0.000
Sm: 0.082 0.082 0.755

Calculated values
- Volume: 132.02 Å³/f.u.
- Space group: R3m, No. 160
- Energy: -4.646 eV/atom
- E_form: 1.8 kJ/mol of atoms

NaTa2IrO8 | PBE-GGA | relaxed

Lattice parameters (Å, degrees): 4.772 4.770 6.341 90.01 90.01 88.83
Fractional positions:
Ta: 0.500 0.500 0.741
Ir: 0.000 0.000 0.000
O: 0.294 0.294 0.000
O: 0.787 0.213 0.788
O: 0.787 0.213 0.212
O: 0.213 0.787 0.788
O: 0.681 0.681 0.500
Ta: 0.500 0.500 0.259
O: 0.319 0.319 0.500
O: 0.706 0.706 0.000
O: 0.213 0.787 0.212
Na: 0.000 0.000 0.500

Calculated values
- Volume: 144.30 Å³/f.u.
- E_form (uncorrected): -2.02 eV per atom
- Space group: Cmmm, No. 65
- Energy: -8.150 eV/atom

Ca2AgH | PBE-GGA | relaxed

Lattice parameters (Å, degrees): 3.537 3.537 9.054 78.74 78.74 60.00
Fractional positions:
Ag: 0.000 0.000 0.000
H: 0.500 0.500 0.500
Ca: 0.889 0.889 0.333
Ca: 0.111 0.111 0.667

Calculated values
- Volume: 95.56 Å³/f.u.
- Space group: R-3m, No. 166
- Energy: -2.435 eV/atom

PuSi4Pd8 | PBE-GGA | relaxed

Lattice parameters (Å, degrees): 5.286 6.714 6.714 81.08 66.82 66.82
Fractional positions:
Pd: 0.669 0.331 0.331
Pd: 0.000 0.331 0.669
Pd: 0.500 0.224 0.776
Pd: 0.724 0.776 0.776
Pd: 0.276 0.224 0.224
Pu: 0.000 0.000 0.000
Si: 0.000 0.000 0.500
Si: 0.500 0.500 0.000
Pd: 0.000 0.669 0.331
Si: 0.500 0.000 0.500
Si: 0.000 0.500 0.000
Pd: 0.331 0.669 0.669
Pd: 0.500 0.776 0.224

Calculated values
- Volume: 201.37 Å³/f.u.
- E_form (uncorrected): -0.56 eV per atom
- Space group: I4/mmm, No. 139
- Energy: -6.524 eV/atom

LiY2Ta | PBE-GGA | relaxed

Lattice parameters (Å, degrees): 6.231 6.231 6.231 148.74 130.71 59.53
Fractional positions:
Y: 0.723 0.223 0.500
Y: 0.013 0.013 0.000
Li: 0.485 0.485 0.000
Ta: 0.279 0.779 0.500

Calculated values
- Volume: 94.35 Å³/f.u.
- Space group: Imm2, No. 44
- Energy: -6.320 eV/atom
- E_form: 34.2 kJ/mol of atoms

Pr6DyMg2 | PBE-GGA | relaxed

Lattice parameters (Å, degrees): 6.311 9.953 9.953 73.37 85.19 85.19
Fractional positions:
Pr: 0.490 0.687 0.424
Pr: 0.160 0.354 0.089
Dy: 0.750 0.896 0.104
Pr: 0.185 0.970 0.264
Pr: 0.315 0.736 0.030
Dy: 0.250 0.104 0.896
Pr: 0.010 0.576 0.313
Mg: 0.087 0.217 0.454
Pr: 0.685 0.264 0.970
Mg: 0.413 0.546 0.783
Mg: 0.587 0.454 0.217
Pr: 0.510 0.313 0.576
Pr: 0.990 0.424 0.687
Pr: 0.840 0.646 0.911
Pr: 0.340 0.911 0.646
Pr: 0.660 0.089 0.354
Pr: 0.815 0.030 0.736
Mg: 0.913 0.783 0.546

Calculated values
- Volume: 297.85 Å³/f.u.
- Space group: C2/c, No. 15
- Energy: -4.022 eV/atom
- E_form: 2.9 kJ/mol of atoms

VPBrN | PBE-GGA | relaxed

Lattice parameters (Å, degrees): 3.585 3.908 6.983 85.89 75.94 73.06
Fractional positions:
N: 0.895 0.618 0.524
P: 0.309 0.314 0.401
V: 0.353 0.778 0.587
Br: 0.146 0.857 0.925

Calculated values
- Volume: 90.81 Å³/f.u.
- E_form (uncorrected): -0.28 eV per atom
- Space group: P1, No. 1
- Energy: -6.416 eV/atom

Sr2CdSb2 | PBE-GGA | relaxed

Lattice parameters (Å, degrees): 8.357 8.357 4.741 90.00 90.00 90.00
Fractional positions:
Cd: 0.000 0.000 0.000
Cd: 0.500 0.500 0.000
Sb: 0.624 0.124 0.000
Sb: 0.376 0.876 0.000
Sb: 0.876 0.624 0.000
Sr: 0.324 0.176 0.500
Sr: 0.824 0.324 0.500
Sr: 0.676 0.824 0.500
Sr: 0.176 0.676 0.500
Sb: 0.124 0.376 0.000

Calculated values
- Volume: 165.55 Å³/f.u.
- E_form (uncorrected): -0.68 eV per atom
- Space group: P4/mbm, No. 127
- Energy: -3.189 eV/atom

Ti2BPdW | PBE-GGA | relaxed

Lattice parameters (Å, degrees): 4.635 4.758 4.635 90.00 90.00 90.00
Fractional positions:
Ti: 0.000 0.000 0.500
Ti: 0.500 0.000 0.000
B: 0.500 0.500 0.500
Pd: 0.000 0.000 0.000
W: 0.000 0.500 0.000

Calculated values
- Volume: 102.20 Å³/f.u.
- Space group: P4/mmm, No. 123
- Energy: -6.251 eV/atom
- E_form: 180.6 kJ/mol of atoms

MgTlOs2 | PBE-GGA | relaxed

Lattice parameters (Å, degrees): 2.801 2.801 10.043 90.00 90.00 116.92
Fractional positions:
Tl: 0.500 0.500 0.250
Os: 0.000 0.000 0.974
Mg: 0.500 0.500 0.750
Os: 0.000 0.000 0.526

Calculated values
- Volume: 70.27 Å³/f.u.
- Space group: Cmmm, No. 65
- Energy: -5.791 eV/atom
- E_form: 78.5 kJ/mol of atoms

YSi2Br | PBE-GGA | relaxed

Lattice parameters (Å, degrees): 9.050 9.050 6.914 49.12 49.12 90.00
Fractional positions:
Si: 0.875 0.912 0.750
Si: 0.088 0.625 0.250
Si: 0.375 0.338 0.750
Br: 0.500 0.500 0.000
Y: 0.000 0.000 0.000
Si: 0.662 0.125 0.250
Br: 0.250 0.750 0.500
Y: 0.750 0.250 0.500

Calculated values
- Volume: 107.23 Å³/f.u.
- E_form (uncorrected): 0.17 eV per atom
- Space group: I-42d, No. 122
- Energy: -4.578 eV/atom